1.
# CsBaCa2, optimized geometry, DFT PBE-GGA
data_CsBaCa2
_cell_length_a 7.256
_cell_length_b 7.256
_cell_length_c 4.432
_cell_angle_alpha 90.00
_cell_angle_beta 90.00
_cell_angle_gamma 90.00
_space_group_name_H-M_alt 'P 4/m m m'
_space_group_IT_number 123
_space_group_name_Hall '-P 4 2'
loop_
_atom_site_label
_atom_site_type_symbol
_atom_site_fract_x
_atom_site_fract_y
_atom_site_fract_z
Cs1 Cs 0.000 0.000 0.000
Ba1 Ba 0.500 0.500 0.000
Ca1 Ca 0.000 0.500 0.500
# Relative energy among the computed polymorphs   0.042 eV per atom
# Formation energy from the elements   0.219 eV per atom
# V   58.34 A^3/atom

=====

2.
# Li2V2S5, optimized geometry, DFT PBE-GGA
data_Li2V2S5
_cell_length_a 10.003
_cell_length_b 6.262
_cell_length_c 11.600
_cell_angle_alpha 90.00
_cell_angle_beta 114.62
_cell_angle_gamma 90.00
_space_group_name_H-M_alt 'C 1 2/c 1'
_space_group_IT_number 15
loop_
_space_group_symop_operation_xyz
'x,y,z'
'-x,-y,-z'
'-x,y,-z+1/2'
'x,-y,z+1/2'
'x+1/2,y+1/2,z'
'-x+1/2,-y+1/2,-z'
'-x+1/2,y+1/2,-z+1/2'
'x+1/2,-y+1/2,z+1/2'
loop_
_atom_site_label
_atom_site_type_symbol
_atom_site_fract_x
_atom_site_fract_y
_atom_site_fract_z
Li1 Li 0.190 0.118 0.317
V1 V 0.092 0.352 0.948
S1 S 0.000 0.167 0.750
S2 S 0.082 0.390 0.142
S3 S 0.202 0.003 0.031
# V   18.35 A^3/atom
# Uncorrected energy   -204.7 eV for the cell shown